A relaxed HAuBr2 crystal. Source: the Alexandria database, functional PBE.

Lattice parameters (Å, degrees): 5.722 5.722 6.596 64.29 64.29 90.00
Atoms (fractional coordinates):
Br (0.875, 0.800, 0.750)
Br (0.200, 0.625, 0.250)
Br (0.550, 0.125, 0.250)
Br (0.375, 0.450, 0.750)
H (0.500, 0.500, 0.000)
H (0.250, 0.750, 0.500)
Au (0.000, 0.000, 0.000)
Au (0.750, 0.250, 0.500)

Results
Space group   No. 122
Density of states at the Fermi level   1.16 states/eV per cell
Volume   170.6 Å³ per cell

---

A relaxed HAu2Br crystal. Source: the Alexandria database, functional PBE.

Lattice parameters (Å, degrees): 5.445 5.445 6.262 64.23 64.23 90.00
Atoms (fractional coordinates):
H (0.250, 0.750, 0.500)
H (0.500, 0.500, 0.000)
Br (0.000, 0.000, 0.000)
Br (0.750, 0.250, 0.500)
Au (0.875, 0.728, 0.750)
Au (0.272, 0.625, 0.250)
Au (0.478, 0.125, 0.250)
Au (0.375, 0.522, 0.750)

Results
Space group   No. 122
Density of states at the Fermi level   0.00 states/eV per cell
Volume   146.4 Å³ per cell

---

A relaxed H2AuBr2 crystal. Source: the Alexandria database, functional PBE.

Lattice parameters (Å, degrees): 6.706 6.495 7.544 73.32 90.00 121.08
Site moments in Bohr magnetons follow the coordinates.
Atoms (fractional coordinates):
Br (0.168, 0.336, 0.917)  0.13
Br (0.832, 0.664, 0.083)  0.13
Br (0.168, 0.336, 0.417)  0.13
Br (0.832, 0.664, 0.583)  0.13
Au (0.000, 0.000, 0.750)  0.20
Au (0.000, 0.000, 0.250)  0.20
H (0.464, 0.928, 0.771)  0.00
H (0.536, 0.072, 0.229)  0.00
H (0.465, 0.928, 0.271)  0.00
H (0.535, 0.072, 0.729)  0.00

Results
Space group   No. 12
Density of states at the Fermi level   6.14 states/eV per cell
Volume   265.2 Å³ per cell

---

A relaxed H2AuBr crystal. Source: the Alexandria database, functional PBE.

Lattice parameters (Å, degrees): 4.172 4.172 4.172 60.00 60.00 60.00
Atoms (fractional coordinates):
H (0.750, 0.750, 0.750)
H (0.250, 0.250, 0.250)
Au (0.500, 0.500, 0.500)
Br (0.000, 0.000, 0.000)

Results
Space group   No. 225
Density of states at the Fermi level   2.22 states/eV per cell
Volume   51.4 Å³ per cell

---

A relaxed H2AuBr crystal. Source: the Alexandria database, functional PBE.

Lattice parameters (Å, degrees): 5.391 5.391 5.665 61.59 61.59 90.00
Atoms (fractional coordinates):
H (0.818, 0.125, 0.250)
H (0.875, 0.068, 0.750)
H (0.932, 0.625, 0.250)
H (0.375, 0.182, 0.750)
Br (0.250, 0.750, 0.500)
Br (0.500, 0.500, 0.000)
Au (0.750, 0.250, 0.500)
Au (0.000, 0.000, 0.000)

Results
Space group   No. 122
Density of states at the Fermi level   0.00 states/eV per cell
Volume   121.8 Å³ per cell

---

A relaxed H3AuBr crystal. Source: the Alexandria database, functional PBE.

Lattice parameters (Å, degrees): 3.867 3.867 3.867 90.00 90.00 90.00
Atoms (fractional coordinates):
H (0.000, 0.500, 0.000)
H (0.000, 0.000, 0.500)
H (0.500, 0.000, 0.000)
Br (0.000, 0.000, 0.000)
Au (0.500, 0.500, 0.500)

Results
Space group   No. 221
Density of states at the Fermi level   1.55 states/eV per cell
Volume   57.8 Å³ per cell

---

A relaxed HAu2Br crystal. Source: the Alexandria database, functional PBE.

Lattice parameters (Å, degrees): 4.643 4.643 4.643 60.00 60.00 60.00
Site moments in Bohr magnetons follow the coordinates.
Atoms (fractional coordinates):
H (0.000, 0.000, 0.000)  0.12
Au (0.750, 0.750, 0.750)  0.01
Au (0.250, 0.250, 0.250)  0.01
Br (0.500, 0.500, 0.500)  0.01

Results
Space group   No. 225
Density of states at the Fermi level   0.80 states/eV per cell
Volume   70.8 Å³ per cell

---

A relaxed H2AuBr crystal. Source: the Alexandria database, functional PBE.

Lattice parameters (Å, degrees): 6.442 4.419 4.629 121.28 89.77 93.75
Atoms (fractional coordinates):
H (0.577, 0.562, 0.670)
H (0.649, 0.728, 0.755)
Br (0.113, 0.995, 0.364)
Au (0.111, 0.257, 0.993)

Results
Space group   No. 1
Volume   112.3 Å³ per cell

---

| no. | energy (eV/cell) | ρ (g/cm3) |
| --- | --- | --- |
| 1 | -17.82 | 7.0 |
| 2 | -21.53 | 10.8 |
| 3 | -27.26 | 4.5 |
| 4 | -6.91 | 9.0 |
| 5 | -20.29 | 7.6 |
| 6 | -9.35 | 8.0 |
| 7 | -8.09 | 11.1 |
| 8 | -11.50 | 4.1 |